[1]
Mg2CdAs, optimized geometry, DFT PBE-GGA; D(E_F) = 1.283 states/eV per cell; E above lowest polymorph = 37.4 meV per atom; space group = P4/mmm, No. 123
1.0
4.568 0.000 0.000
0.000 4.568 0.000
0.000 0.000 3.964
Mg Cd As
2 1 1
Direct
0.000 0.500 0.000
0.500 0.000 0.000
0.000 0.000 0.500
0.500 0.500 0.500



[2]
CrAg2Pt, optimized geometry, DFT PBE-GGA; D(E_F) = 8.597 states/eV per cell; E above lowest polymorph = 70.8 meV per atom; space group = R3m, No. 160
1.0
2.892 0.000 0.000
-1.446 2.505 0.000
0.000 0.000 27.498
Cr Ag Pt
3 6 3
Direct
0.000 0.000 0.000
0.333 0.667 0.667
0.667 0.333 0.333
0.000 0.000 0.250
0.000 0.000 0.495
0.333 0.667 0.161
0.333 0.667 0.917
0.667 0.333 0.584
0.667 0.333 0.828
0.000 0.000 0.740
0.333 0.667 0.407
0.667 0.333 0.073



[3]
US2Cl, optimized geometry, DFT PBE-GGA; D(E_F) = 16.901 states/eV per cell; E above lowest polymorph = 0.0 meV per atom; space group = R3m, No. 160; uncorrected formation energy = -1197.9 meV/atom
1.0
4.345 0.000 0.000
-2.172 3.763 0.000
0.000 0.000 21.021
U S Cl
3 6 3
Direct
0.000 0.000 0.000
0.333 0.667 0.667
0.667 0.333 0.333
0.000 0.000 0.367
0.000 0.000 0.609
0.333 0.667 0.034
0.333 0.667 0.276
0.667 0.333 0.700
0.667 0.333 0.942
0.000 0.000 0.122
0.333 0.667 0.788
0.667 0.333 0.455



[4]
Na2SrMo, optimized geometry, DFT PBE-GGA; D(E_F) = 16.050 states/eV per cell; E above lowest polymorph = 56.7 meV per atom; space group = I-42d, No. 122
1.0
4.688 0.000 0.000
0.000 4.688 0.000
0.000 0.000 24.988
Na Sr Mo
8 4 4
Direct
0.219 0.250 0.125
0.250 0.719 0.375
0.250 0.781 0.875
0.281 0.250 0.625
0.719 0.750 0.625
0.750 0.219 0.875
0.750 0.281 0.375
0.781 0.750 0.125
0.000 0.000 0.500
0.000 0.500 0.750
0.500 0.000 0.250
0.500 0.500 0.000
0.000 0.000 0.000
0.000 0.500 0.250
0.500 0.000 0.750
0.500 0.500 0.500



[5]
Mn2V2Co, optimized geometry, DFT PBE-GGA; D(E_F) = 13.181 states/eV per cell; space group = P4/mbm, No. 127; total energy = -8.564 eV/atom
1.0
6.497 0.000 0.000
0.000 6.497 0.000
0.000 0.000 2.886
Mn V Co
4 4 2
Direct
0.116 0.384 0.000
0.384 0.884 0.000
0.616 0.116 0.000
0.884 0.616 0.000
0.197 0.697 0.500
0.303 0.197 0.500
0.697 0.803 0.500
0.803 0.303 0.500
0.000 0.000 0.000
0.500 0.500 0.000



[6]
Sc2TaRe, optimized geometry, DFT PBE-GGA; D(E_F) = 20.939 states/eV per cell; E above lowest polymorph = 777.1 meV per atom; space group = I-42d, No. 122
1.0
7.680 0.000 0.000
0.000 7.680 0.000
0.000 0.000 5.494
Sc Ta Re
8 4 4
Direct
0.214 0.250 0.125
0.250 0.714 0.375
0.250 0.786 0.875
0.286 0.250 0.625
0.714 0.750 0.625
0.750 0.214 0.875
0.750 0.286 0.375
0.786 0.750 0.125
0.000 0.000 0.500
0.000 0.500 0.750
0.500 0.000 0.250
0.500 0.500 0.000
0.000 0.000 0.000
0.000 0.500 0.250
0.500 0.000 0.750
0.500 0.500 0.500



[7]
TiNbPd6, optimized geometry, DFT PBE-GGA; D(E_F) = 7.313 states/eV per cell; E above lowest polymorph = 0.0 meV per atom; space group = P4/mmm, No. 123
1.0
5.593 0.000 0.000
0.000 5.593 0.000
0.000 0.000 3.962
Ti Nb Pd
1 1 6
Direct
0.000 0.000 0.000
0.500 0.500 0.000
0.000 0.500 0.000
0.249 0.249 0.500
0.249 0.751 0.500
0.500 0.000 0.000
0.751 0.249 0.500
0.751 0.751 0.500



[8]
Tm8Fe2Cu, optimized geometry, DFT PBE-GGA; D(E_F) = 10.122 states/eV per cell; space group = Cm, No. 8; total energy = -5.141 eV/atom
1.0
4.158 -6.097 0.000
4.158 6.097 0.000
-1.595 0.000 5.360
Tm Fe Cu
8 2 1
Direct
0.000 0.000 0.000
0.033 0.300 0.604
0.143 0.600 0.196
0.300 0.033 0.604
0.440 0.707 0.792
0.600 0.143 0.196
0.707 0.440 0.792
0.748 0.748 0.393
0.059 0.681 0.698
0.681 0.059 0.698
0.375 0.375 0.070



[9]
TaTiF2, optimized geometry, DFT PBE-GGA; D(E_F) = 8.296 states/eV per cell; E above lowest polymorph = 0.0 meV per atom; space group = R-3m, No. 166; uncorrected formation energy = -1505.6 meV/atom
1.0
2.797 0.000 0.000
-1.399 2.422 0.000
0.000 0.000 22.872
Ta Ti F
3 3 6
Direct
0.000 0.000 0.000
0.333 0.667 0.667
0.667 0.333 0.333
0.000 0.000 0.500
0.333 0.667 0.167
0.667 0.333 0.833
0.000 0.000 0.100
0.000 0.000 0.900
0.333 0.667 0.566
0.333 0.667 0.767
0.667 0.333 0.233
0.667 0.333 0.434



[10]
TaCr2Au, optimized geometry, DFT PBE-GGA; D(E_F) = 3.040 states/eV per cell; E above lowest polymorph = 311.9 meV per atom; space group = P4/mmm, No. 123
1.0
2.669 0.000 0.000
0.000 2.669 0.000
0.000 0.000 8.506
Ta Cr Au
1 2 1
Direct
0.000 0.000 0.000
0.500 0.500 0.255
0.500 0.500 0.745
0.000 0.000 0.500